This record from Alexandria describes crystalline YAgPO2 at its relaxed geometry. The functional is GGA-PBE.

Properties
Raw total energy (eV/atom): -5.155
Excess energy over the best structure of this formula in the dataset (eV/atom): 0.4048
Uncorrected formation energy (eV per atom): -0.23

Unit cell a=3.9327 b=5.4117 c=3.9327 alpha=90.00 beta=90.00 gamma=90.00
Atoms (fractional coordinates):
O (0.5000, 0.0000, 0.0000)
O (0.0000, 0.0000, 0.5000)
Y (0.0000, 0.5000, 0.0000)
Ag (0.5000, 0.5000, 0.5000)
P (0.0000, 0.0000, 0.0000)